Entry 1:
Material: Pr6Ge2TeBr3
Method: DFT, GGA-PBE
State: relaxed

## Properties
**Theoretical density**: 6.2 Mg/m³
**DOS(E_F)**: 6.1 states/eV/cell
**V**: 30.44 A^3/atom
**E_tot**: -5.0477 eV/atom

abc: 4.392 8.864 9.868
angles: 102.49 102.86 90.00
Positions (direct):
Te: 0.500 0.000 0.000
Br: 0.500 0.500 0.000
Br: 0.837 0.165 0.673
Br: 0.163 0.835 0.327
Pr: 0.330 0.880 0.660
Pr: 0.674 0.567 0.348
Pr: 0.670 0.120 0.340
Pr: 0.984 0.742 0.968
Pr: 0.326 0.433 0.652
Pr: 0.016 0.258 0.032
Ge: 0.169 0.338 0.338
Ge: 0.831 0.662 0.662

Entry 2:
Material: Tb2CeCo2
Method: DFT, GGA-PBE
State: relaxed

## Properties
**Theoretical density**: 8.8 Mg/m³
**DOS(E_F)**: 11.5 states/eV/cell
**E above lowest polymorph**: 0.003 eV/atom
**Energy relative to the elements**: -0.228 eV/atom
**V**: 21.70 A^3/atom
**E_tot**: -6.1090 eV/atom

abc: 6.051 6.010 7.016
angles: 98.76 90.00 120.23
Positions (direct):
Ce: 0.078 0.000 0.750
Ce: 0.922 0.000 0.250
Co: 0.696 0.695 0.487
Co: 0.001 0.305 0.013
Co: 0.304 0.305 0.513
Co: 0.999 0.695 0.987
Tb: 0.239 0.693 0.351
Tb: 0.546 0.307 0.149
Tb: 0.454 0.693 0.851
Tb: 0.761 0.307 0.649

Entry 3:
Material: Tb3Ce2Er6Sc
Method: DFT, GGA-PBE
State: relaxed

## Properties
**Theoretical density**: 8.3 Mg/m³
**DOS(E_F)**: 20.6 states/eV/cell
**Energy relative to the elements**: 0.049 eV/atom
**V**: 30.21 A^3/atom
**E_tot**: -4.9066 eV/atom

abc: 6.057 6.057 11.588
angles: 94.99 94.99 119.99
Positions (direct):
Ce: 0.334 0.666 0.000
Ce: 0.666 0.334 0.000
Er: 0.750 0.750 0.247
Er: 0.415 0.082 0.246
Er: 0.585 0.918 0.754
Er: 0.918 0.585 0.754
Er: 0.082 0.415 0.246
Er: 0.250 0.250 0.753
Tb: 0.166 0.834 0.500
Tb: 0.834 0.166 0.500
Tb: 0.500 0.500 0.500
Sc: 0.000 0.000 0.000

Entry 4:
Material: Pu4Ge12Pd
Method: DFT, GGA-PBE
State: relaxed

## Properties
**Theoretical density**: 9.8 Mg/m³
**DOS(E_F)**: 37.3 states/eV/cell
**Energy relative to the elements**: -0.347 eV/atom
**V**: 19.39 A^3/atom
**E_tot**: -7.2839 eV/atom

abc: 7.537 7.537 7.537
angles: 109.47 109.47 109.47
Positions (direct):
Ge: 0.000 0.297 0.297
Ge: 0.250 0.500 0.750
Ge: 0.750 0.250 0.500
Ge: 0.000 0.703 0.703
Ge: 0.703 0.703 0.000
Ge: 0.750 0.500 0.250
Ge: 0.250 0.750 0.500
Ge: 0.297 0.297 0.000
Ge: 0.297 0.000 0.297
Ge: 0.500 0.250 0.750
Ge: 0.703 0.000 0.703
Ge: 0.500 0.750 0.250
Pu: 0.500 0.000 0.000
Pu: 0.500 0.500 0.500
Pu: 0.000 0.500 0.000
Pu: 0.000 0.000 0.500
Pd: 0.000 0.000 0.000

Entry 5:
Material: MgFeNi2
Method: DFT, GGA-PBE
State: relaxed

## Properties
**Theoretical density**: 6.3 Mg/m³
**DOS(E_F)**: 5.3 states/eV/cell
**Energy relative to the elements**: 0.074 eV/atom
**V**: 13.06 A^3/atom
**E_tot**: -5.3309 eV/atom

abc: 2.982 2.982 5.874
angles: 90.00 90.00 90.00
Positions (direct):
Fe: 0.000 0.000 0.451
Ni: 0.500 0.500 0.259
Ni: 0.000 0.000 0.028
Mg: 0.500 0.500 0.762

Entry 6:
Material: Be2CuP
Method: DFT, GGA-PBE
State: relaxed

## Properties
**Theoretical density**: 4.1 Mg/m³
**DOS(E_F)**: 1.4 states/eV/cell
**Energy relative to the elements**: 0.447 eV/atom
**V**: 11.30 A^3/atom
**E_tot**: -3.7924 eV/atom

abc: 3.999 3.999 3.999
angles: 60.00 60.00 60.00
Positions (direct):
Be: 0.250 0.250 0.250
Be: 0.000 0.000 0.000
Cu: 0.500 0.500 0.500
P: 0.750 0.750 0.750